No. 1
PSe3Cl | PBE-GGA | optimized geometry

Results
The calculation puts the calculated total energy at -2.25 eV per atom. The relative energy among the computed polymorphs comes out at 1463 meV/atom.

Unit cell a=4.9342 b=4.9342 c=4.9342 alpha=90.00 beta=90.00 gamma=90.00
Space group Pm-3m (No. 221)
One atom of each set of equivalent atoms:
P: 0.0000 0.0000 0.0000
Se: 0.0000 0.5000 0.5000
Cl: 0.5000 0.5000 0.5000

No. 2
NdZnAu2 | PBE-GGA | optimized geometry

Results
The calculation puts the calculated total energy at -3.59 eV per atom. For the formation energy, the calculation gives -0.444 eV per atom.

Unit cell a=4.7022 b=4.7022 c=3.9591 alpha=90.00 beta=90.00 gamma=90.00
Space group P4/mmm (No. 123)
One atom of each set of equivalent atoms:
Nd: 0.0000 0.0000 0.0000
Zn: 0.5000 0.5000 0.0000
Au: 0.0000 0.5000 0.5000

No. 3
PaTaTi | PBE-GGA | optimized geometry

Results
The calculation puts the calculated total energy at -9.41 eV per atom. The relative energy among the computed polymorphs comes out at 235 meV/atom. For the formation energy, the calculation gives 0.342 eV per atom.

Unit cell a=5.5495 b=2.8821 c=7.5641 alpha=90.00 beta=90.00 gamma=90.00
Space group Pmma (No. 51)
One atom of each set of equivalent atoms:
Pa: 0.0000 0.0000 0.0000
Ta: 0.2500 0.5000 0.3510
Ti: 0.2500 0.0000 0.6598

No. 4
GeBRh2Au | PBE-GGA | optimized geometry

Results
The calculation puts the calculated total energy at -3.74 eV per atom. For the formation energy, the calculation gives 2.111 eV per atom.

Unit cell a=5.0213 b=5.0213 c=4.6252 alpha=90.00 beta=90.00 gamma=90.00
Space group P4/mmm (No. 123)
One atom of each set of equivalent atoms:
Ge: 0.0000 0.0000 0.0000
B: 0.5000 0.5000 0.0000
Rh: 0.0000 0.5000 0.5000
Au: 0.0000 0.0000 0.5000

No. 5
FeCuOs2 | PBE-GGA | optimized geometry

Results
The calculation puts the calculated total energy at -8.39 eV per atom. The relative energy among the computed polymorphs comes out at 161 meV/atom. For the formation energy, the calculation gives 0.364 eV per atom.

Unit cell a=5.9275 b=5.9275 c=5.9275 alpha=90.00 beta=90.00 gamma=90.00
Space group Fm-3m (No. 225)
One atom of each set of equivalent atoms:
Fe: 0.0000 0.0000 0.0000
Cu: 0.0000 0.0000 0.5000
Os: 0.2500 0.2500 0.2500

No. 6
RbHfF2 | PBE-GGA | optimized geometry

Results
The calculation puts the calculated total energy at -5.22 eV per atom. The relative energy among the computed polymorphs comes out at 654 meV/atom.

Unit cell a=3.1734 b=3.1734 c=25.7351 alpha=90.00 beta=90.00 gamma=120.00
Space group R-3m (No. 166, hexagonal axes)
One atom of each set of equivalent atoms:
Rb: 0.0000 0.0000 0.0000
Hf: 0.0000 0.0000 0.5000
F: 0.0000 0.0000 0.1023

No. 7
LiCrTc | PBE-GGA | optimized geometry

Results
The calculation puts the calculated total energy at -6.82 eV per atom. The relative energy among the computed polymorphs comes out at 292 meV/atom. For the formation energy, the calculation gives 0.476 eV per atom.

Unit cell a=2.4630 b=2.4630 c=13.4719 alpha=90.00 beta=90.00 gamma=90.00
Space group I4mm (No. 107)
One atom of each set of equivalent atoms:
Li: 0.0000 0.0000 0.0000
Cr: 0.0000 0.0000 0.6664
Tc: 0.0000 0.0000 0.3303

No. 8
LiLa2HgPd6 | PBE-GGA | optimized geometry

Results
The calculation puts the calculated total energy at -4.81 eV per atom. For the formation energy, the calculation gives -0.490 eV per atom.

Unit cell a=9.8358 b=5.6796 c=8.8964 alpha=90.00 beta=111.67 gamma=90.00
Space group C2/m (No. 12)
One atom of each set of equivalent atoms:
Li: 0.0000 0.0000 0.0000
La: 0.2083 0.5000 0.1244
Hg: 0.0000 0.5000 0.5000
Pd: 0.0081 0.2509 0.7749
Pd: 0.2424 0.0000 0.2248

No. 9
K2CuPt | PBE-GGA | optimized geometry

Results
The calculation puts the calculated total energy at -2.98 eV per atom. The relative energy among the computed polymorphs comes out at 35 meV/atom. For the formation energy, the calculation gives 0.106 eV per atom.

Unit cell a=3.1531 b=3.9496 c=9.6654 alpha=90.00 beta=90.00 gamma=90.00
Space group Pmm2 (No. 25)
One atom of each set of equivalent atoms:
K: 0.0000 0.0000 0.0000
K: 0.5000 0.5000 0.4341
Cu: 0.5000 0.5000 0.7373
Pt: 0.0000 0.0000 0.6884

No. 10
BaReHg3 | PBE-GGA | optimized geometry

Results
The calculation puts the calculated total energy at -2.80 eV per atom. The relative energy among the computed polymorphs comes out at 0 meV/atom. For the formation energy, the calculation gives 0.250 eV per atom.

Unit cell a=5.3171 b=5.3171 c=5.3171 alpha=90.00 beta=90.00 gamma=90.00
Space group Pm-3m (No. 221)
One atom of each set of equivalent atoms:
Ba: 0.0000 0.0000 0.0000
Re: 0.5000 0.5000 0.5000
Hg: 0.0000 0.5000 0.5000

No. 11
Mn2FeTc | PBE-GGA | optimized geometry

Results
The calculation puts the calculated total energy at -9.19 eV per atom. For the formation energy, the calculation gives 0.100 eV per atom.

Unit cell a=2.9875 b=4.0142 c=8.2065 alpha=90.00 beta=90.00 gamma=90.00
Space group Imm2 (No. 44)
One atom of each set of equivalent atoms:
Mn: 0.0000 0.0000 0.0000
Mn: 0.0000 0.5000 0.2498
Fe: 0.0000 0.5000 0.7436
Tc: 0.0000 0.0000 0.4965

No. 12
YGa3Cl | PBE-GGA | optimized geometry

Results
The calculation puts the calculated total energy at -3.40 eV per atom. The relative energy among the computed polymorphs comes out at 0 meV/atom.

Unit cell a=5.0180 b=5.0180 c=5.0180 alpha=90.00 beta=90.00 gamma=90.00
Space group Pm-3m (No. 221)
One atom of each set of equivalent atoms:
Y: 0.0000 0.0000 0.0000
Ga: 0.0000 0.5000 0.5000
Cl: 0.5000 0.5000 0.5000